Entry 1:
Computed, not measured: a relaxed Sm2In3 crystal at the GGA-PBE level of DFT.

The structure in CIF format:
```
data_Sm2In3
_chemical_formula_sum 'Sm8 In12'
_symmetry_space_group_name_H-M 'C m c m'
_symmetry_Int_Tables_number 63
_symmetry_space_group_name_Hall '-C 2c 2'
_cell_length_a 3.741
_cell_length_b 29.815
_cell_length_c 4.922
_cell_angle_alpha 90.00
_cell_angle_beta 90.00
_cell_angle_gamma 90.00
loop_
_atom_site_label
_atom_site_type_symbol
_atom_site_fract_x
_atom_site_fract_y
_atom_site_fract_z
Sm1 Sm 0.000 0.073 0.250
Sm2 Sm 0.000 0.213 0.750
In1 In 0.000 0.324 0.750
In2 In 0.000 0.380 0.250
In3 In 0.000 0.476 0.250
```

Calculated values
Spin magnetization (Bohr magnetons per cell): 1.79
Raw total energy (eV/cell): -79.503
Energy of formation (meV/atom): -444
Offset from the most stable computed form (meV per atom): 0.0
Crystal system: orthorhombic
Calculated density (Mg/m³): 7.8

***

Entry 2:
Computed, not measured: a relaxed SmIn6 crystal at the GGA-PBE level of DFT.

The structure in CIF format:
```
data_SmIn6
_chemical_formula_sum 'Sm2 In12'
_symmetry_space_group_name_H-M 'I m -3 m'
_symmetry_Int_Tables_number 229
_symmetry_space_group_name_Hall '-I 4 2 3'
_cell_length_a 7.938
_cell_length_b 7.938
_cell_length_c 7.938
_cell_angle_alpha 90.00
_cell_angle_beta 90.00
_cell_angle_gamma 90.00
loop_
_atom_site_label
_atom_site_type_symbol
_atom_site_fract_x
_atom_site_fract_y
_atom_site_fract_z
Sm1 Sm 0.000 0.000 0.000
In1 In 0.000 0.250 0.500
```

Calculated values
Spin magnetization (Bohr magnetons per cell): 0.00
Raw total energy (eV/cell): -36.443
Energy of formation (meV/atom): 418
Crystal system: cubic
Calculated density (Mg/m³): 5.6

***

Entry 3:
Computed, not measured: a relaxed Sm13In2 crystal at the GGA-PBE level of DFT.

The structure in CIF format:
```
data_Sm13In2
_chemical_formula_sum 'Sm13 In2'
_symmetry_space_group_name_H-M 'P -1'
_symmetry_Int_Tables_number 2
_symmetry_space_group_name_Hall '-P 1'
_cell_length_a 6.881
_cell_length_b 8.704
_cell_length_c 9.081
_cell_angle_alpha 66.43
_cell_angle_beta 79.02
_cell_angle_gamma 82.72
loop_
_atom_site_label
_atom_site_type_symbol
_atom_site_fract_x
_atom_site_fract_y
_atom_site_fract_z
Sm1 Sm 0.000 0.000 0.000
Sm2 Sm 0.122 0.477 0.736
Sm3 Sm 0.198 0.228 0.156
Sm4 Sm 0.261 0.935 0.586
Sm5 Sm 0.307 0.653 0.974
Sm6 Sm 0.363 0.414 0.392
Sm7 Sm 0.493 0.142 0.795
In1 In 0.058 0.772 0.382
```

Calculated values
Spin magnetization (Bohr magnetons per cell): 0.00
Raw total energy (eV/cell): -68.242
Energy of formation (meV/atom): -94
Offset from the most stable computed form (meV per atom): 0.0
Crystal system: triclinic
Calculated density (Mg/m³): 7.4

***

Entry 4:
Computed, not measured: a relaxed SmIn4 crystal at the GGA-PBE level of DFT.

The structure in CIF format:
```
data_SmIn4
_chemical_formula_sum 'Sm1 In4'
_symmetry_space_group_name_H-M 'P m -3 m'
_symmetry_Int_Tables_number 221
_symmetry_space_group_name_Hall '-P 4 2 3'
_cell_length_a 5.959
_cell_length_b 5.959
_cell_length_c 5.959
_cell_angle_alpha 90.00
_cell_angle_beta 90.00
_cell_angle_gamma 90.00
loop_
_atom_site_label
_atom_site_type_symbol
_atom_site_fract_x
_atom_site_fract_y
_atom_site_fract_z
Sm1 Sm 0.000 0.000 0.000
In1 In 0.000 0.000 0.500
In2 In 0.500 0.500 0.500
```

Calculated values
Spin magnetization (Bohr magnetons per cell): 0.00
Raw total energy (eV/cell): -12.915
Energy of formation (meV/atom): 551
Offset from the most stable computed form (meV per atom): 662.5
Crystal system: cubic
Calculated density (Mg/m³): 4.8

***

Entry 5:
Computed, not measured: a relaxed Sm5In crystal at the GGA-PBE level of DFT.

The structure in CIF format:
```
data_Sm5In
_chemical_formula_sum 'Sm10 In2'
_symmetry_space_group_name_H-M 'C m m m'
_symmetry_Int_Tables_number 65
_symmetry_space_group_name_Hall '-C 2 2'
_cell_length_a 5.768
_cell_length_b 11.168
_cell_length_c 5.829
_cell_angle_alpha 90.00
_cell_angle_beta 90.00
_cell_angle_gamma 90.00
loop_
_atom_site_label
_atom_site_type_symbol
_atom_site_fract_x
_atom_site_fract_y
_atom_site_fract_z
Sm1 Sm 0.000 0.000 0.000
Sm2 Sm 0.000 0.158 0.500
Sm3 Sm 0.000 0.342 0.000
In1 In 0.000 0.500 0.500
```

Calculated values
Spin magnetization (Bohr magnetons per cell): 0.00
Raw total energy (eV/cell): -53.684
Energy of formation (meV/atom): -85
Offset from the most stable computed form (meV per atom): 68.4
Crystal system: orthorhombic
Calculated density (Mg/m³): 7.7

***

Entry 6:
Computed, not measured: a relaxed Sm5In crystal at the GGA-PBE level of DFT.

The structure in CIF format:
```
data_Sm5In
_chemical_formula_sum 'Sm10 In2'
_symmetry_space_group_name_H-M 'C 1 2/m 1'
_symmetry_Int_Tables_number 12
_symmetry_space_group_name_Hall '-C 2y'
_cell_length_a 11.296
_cell_length_b 4.895
_cell_length_c 7.158
_cell_angle_alpha 90.00
_cell_angle_beta 108.39
_cell_angle_gamma 90.00
loop_
_atom_site_label
_atom_site_type_symbol
_atom_site_fract_x
_atom_site_fract_y
_atom_site_fract_z
Sm1 Sm 0.000 0.000 0.000
Sm2 Sm 0.156 0.500 0.823
Sm3 Sm 0.174 0.500 0.337
In1 In 0.000 0.000 0.500
```

Calculated values
Spin magnetization (Bohr magnetons per cell): 0.00
Raw total energy (eV/cell): -54.253
Energy of formation (meV/atom): -132
Offset from the most stable computed form (meV per atom): 20.9
Crystal system: monoclinic
Calculated density (Mg/m³): 7.7

***

Entry 7:
Computed, not measured: a relaxed Sm4In5 crystal at the GGA-PBE level of DFT.

The structure in CIF format:
```
data_Sm4In5
_chemical_formula_sum 'Sm8 In10'
_symmetry_space_group_name_H-M 'P 63/m c m'
_symmetry_Int_Tables_number 193
_symmetry_space_group_name_Hall '-P 6c 2'
_cell_length_a 9.4368
_cell_length_b 9.4368
_cell_length_c 6.5416
_cell_angle_alpha 90.00
_cell_angle_beta 90.00
_cell_angle_gamma 120.00
loop_
_atom_site_label
_atom_site_type_symbol
_atom_site_fract_x
_atom_site_fract_y
_atom_site_fract_z
Sm1 Sm 0.0000 0.0000 0.0000
Sm2 Sm 0.0000 0.3677 0.2500
In1 In 0.0000 0.3029 0.7500
In2 In 0.3333 0.6667 0.0000
```

Calculated values
Spin magnetization (Bohr magnetons per cell): 0.00
Raw total energy (eV/cell): -72.911
Energy of formation (meV/atom): -432
Crystal system: hexagonal
Calculated density (Mg/m³): 7.7

***

Entry 8:
Computed, not measured: a relaxed Sm3In5 crystal at the GGA-PBE level of DFT.

The structure in CIF format:
```
data_Sm3In5
_chemical_formula_sum 'Sm6 In10'
_symmetry_space_group_name_H-M 'C m m m'
_symmetry_Int_Tables_number 65
_symmetry_space_group_name_Hall '-C 2 2'
_cell_length_a 9.193
_cell_length_b 9.690
_cell_length_c 4.866
_cell_angle_alpha 90.00
_cell_angle_beta 90.00
_cell_angle_gamma 90.00
loop_
_atom_site_label
_atom_site_type_symbol
_atom_site_fract_x
_atom_site_fract_y
_atom_site_fract_z
Sm1 Sm 0.000 0.000 0.000
Sm2 Sm 0.000 0.274 0.500
In1 In 0.000 0.500 0.000
In2 In 0.234 0.000 0.500
In3 In 0.250 0.250 0.000
```

Calculated values
Spin magnetization (Bohr magnetons per cell): 0.00
Raw total energy (eV/cell): -62.828
Energy of formation (meV/atom): -446
Offset from the most stable computed form (meV per atom): 59.8
Crystal system: orthorhombic
Calculated density (Mg/m³): 7.9